1.
A plane-wave DFT calculation with PBE-GGA was carried out for crystalline KNa2TlCu at its relaxed geometry.

a b c (Å): 5.7157 5.7157 5.1125
angles (deg): 90.00 90.00 90.00
Sites, in units of the cell vectors:
K 0.0000 0.0000 0.0000
Na 0.0000 0.5000 0.5000
Na 0.5000 0.0000 0.5000
Tl 0.5000 0.5000 0.0000
Cu 0.5000 0.5000 0.5000

Results
formation energy: 0.086 eV/atom
spin magnetization: 0.00 μB/atom

=====

2.
A plane-wave DFT calculation with PBE-GGA was carried out for crystalline NdSm2HoAs4 at its relaxed geometry.

a b c (Å): 7.2753 4.2045 7.2766
angles (deg): 90.00 109.46 90.00
Sites, in units of the cell vectors:
Nd 0.0000 0.0000 0.0000
Sm 0.0000 0.5000 0.5000
Sm 0.5000 0.0000 0.5000
Ho 0.5000 0.5000 0.0000
As 0.2547 0.5000 0.2499
As 0.2558 0.0000 0.7535
As 0.7442 0.0000 0.2465
As 0.7453 0.5000 0.7501

Results
formation energy: -1.517 eV/atom
spin magnetization: 0.00 μB/atom

=====

3.
A plane-wave DFT calculation with PBE-GGA was carried out for crystalline CeSi4Pt4 at its relaxed geometry.

a b c (Å): 6.0770 6.0770 8.3218
angles (deg): 90.00 90.00 90.00
Sites, in units of the cell vectors:
Ce 0.2500 0.7500 0.2500
Ce 0.7500 0.2500 0.7500
Si 0.0280 0.2500 0.1386
Si 0.2500 0.0280 0.6386
Si 0.2500 0.4720 0.6386
Si 0.4720 0.2500 0.1386
Si 0.5280 0.7500 0.8614
Si 0.7500 0.5280 0.3614
Si 0.7500 0.9720 0.3614
Si 0.9720 0.7500 0.8614
Pt 0.0279 0.2500 0.4315
Pt 0.2500 0.0279 0.9315
Pt 0.2500 0.4721 0.9315
Pt 0.4721 0.2500 0.4315
Pt 0.5279 0.7500 0.5685
Pt 0.7500 0.5279 0.0685
Pt 0.7500 0.9721 0.0685
Pt 0.9721 0.7500 0.5685

Results
formation energy without anion corrections: -0.766 eV/atom
spin magnetization: 0.08 μB/atom

=====

4.
A plane-wave DFT calculation with PBE-GGA was carried out for crystalline HoThNi2 at its relaxed geometry.

a b c (Å): 4.8550 4.8550 3.4337
angles (deg): 90.00 90.00 90.00
Sites, in units of the cell vectors:
Ho 0.0000 0.0000 0.0000
Th 0.5000 0.5000 0.0000
Ni 0.0000 0.5000 0.5000
Ni 0.5000 0.0000 0.5000

Results
ΔE to the lowest computed polymorph: 43 kJ/mol of formula units
formation energy: -0.349 eV/atom
spin magnetization: 0.00 μB/atom

=====

5.
A plane-wave DFT calculation with PBE-GGA was carried out for crystalline RbMg2CuB at its relaxed geometry.

a b c (Å): 4.6327 4.6327 6.0096
angles (deg): 90.00 90.00 90.00
Sites, in units of the cell vectors:
Rb 0.0000 0.0000 0.0000
Mg 0.0000 0.5000 0.5000
Mg 0.5000 0.0000 0.5000
Cu 0.5000 0.5000 0.0000
B 0.0000 0.0000 0.5000

Results
ΔE to the lowest computed polymorph: 0 kJ/mol of formula units
formation energy: 0.705 eV/atom
spin magnetization: 0.14 μB/atom

=====

6.
A plane-wave DFT calculation with PBE-GGA was carried out for crystalline Ca6Ni2Hg at its relaxed geometry.

a b c (Å): 8.7592 8.7592 8.7592
angles (deg): 112.51 110.60 105.39
Sites, in units of the cell vectors:
Ca 0.0246 0.2291 0.7955
Ca 0.1816 0.2900 0.4716
Ca 0.1816 0.7100 0.8916
Ca 0.3238 0.0173 0.6935
Ca 0.3238 0.6303 0.3065
Ca 0.4336 0.2291 0.2045
Ca 0.5664 0.7709 0.7955
Ca 0.6762 0.3697 0.6935
Ca 0.6762 0.9827 0.3065
Ca 0.8184 0.2900 0.1084
Ca 0.8184 0.7100 0.5284
Ca 0.9754 0.7709 0.2045
Ni 0.1106 0.6106 0.5000
Ni 0.3797 0.0000 0.3797
Ni 0.6203 0.0000 0.6203
Ni 0.8894 0.3894 0.5000
Hg 0.0000 0.0000 0.0000
Hg 0.5000 0.5000 0.0000

Results
formation energy: -0.199 eV/atom
spin magnetization: 0.00 μB/atom

=====

Q: Which of these has the highest spin magnetization?
A: RbMg2CuB